Record 1
{"formula": "HfCuBi2", "functional": "GGA-PBE", "state": "relaxed", "lattice_angstrom": [[-3.899, 3.899, 3.219], [3.899, -3.899, 3.219], [3.899, 3.899, -3.219]], "species": ["Hf", "Hf", "Cu", "Cu", "Bi", "Bi", "Bi", "Bi"], "fractional_positions": [[0.000, 0.000, 0.000], [0.750, 0.250, 0.500], [0.250, 0.750, 0.500], [0.500, 0.500, 0.000], [0.160, 0.125, 0.535], [0.375, 0.840, 0.965], [0.590, 0.625, 0.465], [0.875, 0.410, 0.035]], "mass_density_g_cm3": 11.20, "magnetic_moment_mub_per_fu": 0.00, "formation_energy_mev_per_atom": 310}


Record 2
{"formula": "Hf8Cu2Bi", "functional": "GGA-PBE", "state": "relaxed", "lattice_angstrom": [[3.929, -6.136, 0.000], [3.929, 6.136, 0.000], [-1.481, 0.000, 4.911]], "species": ["Hf", "Hf", "Hf", "Hf", "Hf", "Hf", "Hf", "Hf", "Cu", "Cu", "Bi"], "fractional_positions": [[0.090, 0.090, 0.803], [0.172, 0.417, 0.401], [0.248, 0.752, 0.000], [0.417, 0.172, 0.401], [0.583, 0.828, 0.599], [0.752, 0.248, 0.000], [0.828, 0.583, 0.599], [0.910, 0.910, 0.197], [0.195, 0.805, 0.500], [0.805, 0.195, 0.500], [0.500, 0.500, 0.000]], "mass_density_g_cm3": 12.37, "magnetic_moment_mub_per_fu": 0.00, "formation_energy_mev_per_atom": 50}


Record 3
{"formula": "Hf2Cu2Bi", "functional": "GGA-PBE", "state": "relaxed", "lattice_angstrom": [[6.885, 0.000, 0.000], [0.000, 6.885, 0.000], [0.000, 0.000, 3.968]], "species": ["Hf", "Hf", "Hf", "Hf", "Cu", "Cu", "Cu", "Cu", "Bi", "Bi"], "fractional_positions": [[0.162, 0.338, 0.000], [0.338, 0.838, 0.000], [0.662, 0.162, 0.000], [0.838, 0.662, 0.000], [0.122, 0.622, 0.500], [0.378, 0.122, 0.500], [0.622, 0.878, 0.500], [0.878, 0.378, 0.500], [0.000, 0.000, 0.500], [0.500, 0.500, 0.500]], "mass_density_g_cm3": 12.24, "relative_energy_mev_per_atom": 0.0, "magnetic_moment_mub_per_fu": 0.00, "formation_energy_mev_per_atom": -78}


Record 4
{"formula": "HfCuBi2", "functional": "GGA-PBE", "state": "relaxed", "lattice_angstrom": [[0.000, 3.625, 3.625], [3.625, 0.000, 3.625], [3.625, 3.625, 0.000]], "species": ["Hf", "Cu", "Bi", "Bi"], "fractional_positions": [[0.000, 0.000, 0.000], [0.500, 0.500, 0.500], [0.250, 0.250, 0.250], [0.750, 0.750, 0.750]], "mass_density_g_cm3": 11.50, "magnetic_moment_mub_per_fu": 0.00, "formation_energy_mev_per_atom": 328}


Record 5
{"formula": "Hf2Cu2Bi", "functional": "GGA-PBE", "state": "relaxed", "lattice_angstrom": [[-2.206, 2.206, 5.322], [2.206, -2.206, 5.322], [2.206, 2.206, -5.322]], "species": ["Hf", "Hf", "Cu", "Cu", "Bi"], "fractional_positions": [[0.250, 0.750, 0.500], [0.750, 0.250, 0.500], [0.108, 0.108, 0.000], [0.892, 0.892, 0.000], [0.500, 0.500, 0.000]], "mass_density_g_cm3": 11.11, "relative_energy_mev_per_atom": 211.4, "magnetic_moment_mub_per_fu": 0.00, "formation_energy_mev_per_atom": 133}


Record 6
{"formula": "Hf2CuBi", "functional": "GGA-PBE", "state": "relaxed", "lattice_angstrom": [[5.895, 0.000, 0.000], [0.000, 3.899, 0.000], [-2.466, 0.000, 7.349]], "species": ["Hf", "Hf", "Hf", "Hf", "Cu", "Cu", "Bi", "Bi"], "fractional_positions": [[0.163, 0.250, 0.409], [0.220, 0.750, 0.056], [0.780, 0.250, 0.944], [0.837, 0.750, 0.591], [0.117, 0.250, 0.781], [0.883, 0.750, 0.219], [0.406, 0.750, 0.718], [0.594, 0.250, 0.282]], "mass_density_g_cm3": 12.38, "magnetic_moment_mub_per_fu": 0.00, "formation_energy_mev_per_atom": -97}


Record 7
{"formula": "HfCu2Bi2", "functional": "GGA-PBE", "state": "relaxed", "lattice_angstrom": [[7.316, 0.000, 0.000], [0.000, 7.316, 0.000], [0.000, 0.000, 3.841]], "species": ["Hf", "Hf", "Cu", "Cu", "Cu", "Cu", "Bi", "Bi", "Bi", "Bi"], "fractional_positions": [[0.000, 0.000, 0.000], [0.500, 0.500, 0.000], [0.119, 0.381, 0.000], [0.381, 0.881, 0.000], [0.619, 0.119, 0.000], [0.881, 0.619, 0.000], [0.180, 0.680, 0.500], [0.320, 0.180, 0.500], [0.680, 0.820, 0.500], [0.820, 0.320, 0.500]], "mass_density_g_cm3": 11.69, "magnetic_moment_mub_per_fu": 0.00, "formation_energy_mev_per_atom": 122}


Record 8
{"formula": "Hf6CuBi2", "functional": "GGA-PBE", "state": "relaxed", "lattice_angstrom": [[5.806, 0.000, 0.000], [0.000, 7.299, 0.000], [-5.611, 0.000, 9.575]], "species": ["Hf", "Hf", "Hf", "Hf", "Hf", "Hf", "Hf", "Hf", "Hf", "Hf", "Hf", "Hf", "Cu", "Cu", "Bi", "Bi", "Bi", "Bi"], "fractional_positions": [[0.099, 0.041, 0.240], [0.099, 0.459, 0.740], [0.163, 0.728, 0.034], [0.163, 0.772, 0.534], [0.376, 0.163, 0.021], [0.376, 0.337, 0.521], [0.624, 0.663, 0.479], [0.624, 0.837, 0.979], [0.837, 0.228, 0.466], [0.837, 0.272, 0.966], [0.901, 0.541, 0.260], [0.901, 0.959, 0.760], [0.500, 0.000, 0.500], [0.500, 0.500, 0.000], [0.353, 0.092, 0.732], [0.353, 0.408, 0.232], [0.647, 0.592, 0.768], [0.647, 0.908, 0.268]], "mass_density_g_cm3": 12.70, "magnetic_moment_mub_per_fu": 0.00, "formation_energy_mev_per_atom": -5}


Record 9
{"formula": "Hf3CuBi", "functional": "GGA-PBE", "state": "relaxed", "lattice_angstrom": [[7.382, -1.862, 0.000], [7.382, 1.862, 0.000], [-0.082, 0.000, 7.796]], "species": ["Hf", "Hf", "Hf", "Hf", "Hf", "Hf", "Cu", "Cu", "Bi", "Bi"], "fractional_positions": [[0.041, 0.041, 0.241], [0.253, 0.253, 0.792], [0.401, 0.401, 0.448], [0.599, 0.599, 0.552], [0.747, 0.747, 0.208], [0.959, 0.959, 0.759], [0.208, 0.208, 0.433], [0.792, 0.792, 0.567], [0.393, 0.393, 0.062], [0.607, 0.607, 0.938]], "mass_density_g_cm3": 12.52, "relative_energy_mev_per_atom": 0.0, "magnetic_moment_mub_per_fu": 0.00, "formation_energy_mev_per_atom": -86}


Record 10
{"formula": "Hf3CuBi", "functional": "GGA-PBE", "state": "relaxed", "lattice_angstrom": [[4.905, 0.000, 0.000], [0.000, 4.905, 0.000], [0.000, 0.000, 4.905]], "species": ["Hf", "Hf", "Hf", "Cu", "Bi"], "fractional_positions": [[0.000, 0.000, 0.500], [0.000, 0.500, 0.000], [0.500, 0.000, 0.000], [0.000, 0.000, 0.000], [0.500, 0.500, 0.500]], "mass_density_g_cm3": 11.37, "relative_energy_mev_per_atom": 384.1, "magnetic_moment_mub_per_fu": 0.00, "formation_energy_mev_per_atom": 298}


Record 11
{"formula": "LiHfCuBi2", "functional": "GGA-PBE", "state": "relaxed", "lattice_angstrom": [[5.562, 0.000, 0.000], [0.000, 5.562, 0.000], [0.000, 0.000, 5.515]], "species": ["Li", "Hf", "Cu", "Bi", "Bi"], "fractional_positions": [[0.000, 0.000, 0.000], [0.000, 0.000, 0.500], [0.500, 0.500, 0.000], [0.000, 0.500, 0.500], [0.500, 0.000, 0.500]], "mass_density_g_cm3": 6.49, "magnetic_moment_mub_per_fu": 0.97, "formation_energy_mev_per_atom": 859}


Record 12
{"formula": "HfCuBiO4", "functional": "GGA-PBE", "state": "relaxed", "lattice_angstrom": [[-3.383, 3.812, 3.869], [3.383, -3.812, 3.869], [3.383, 3.812, -3.869]], "species": ["Hf", "Hf", "Cu", "Cu", "Bi", "Bi", "O", "O", "O", "O", "O", "O", "O", "O"], "fractional_positions": [[0.500, 0.000, 0.000], [0.500, 0.500, 0.500], [0.000, 0.000, 0.000], [0.500, 0.000, 0.500], [0.053, 0.303, 0.750], [0.947, 0.697, 0.250], [0.234, 0.244, 0.510], [0.234, 0.724, 0.990], [0.315, 0.241, 0.073], [0.332, 0.759, 0.573], [0.668, 0.241, 0.427], [0.685, 0.759, 0.927], [0.766, 0.276, 0.010], [0.766, 0.756, 0.490]], "mass_density_g_cm3": 8.57, "magnetic_moment_mub_per_fu": 0.00, "raw_formation_energy_mev_per_atom": -1867}